# 1
Density functional theory data (PBE) for a geometry-optimized PuTeCl structure.

Cell lengths 7.206, 7.206, 7.206 Å; angles 90.00, 90.00, 90.00 degrees
Space group F-43m (No. 216)
Unique sites:
Pu1 0.000 0.000 0.000 x4
Te1 0.250 0.250 0.750 x4
Cl1 0.250 0.250 0.250 x4

Summary:
The volume comes out at 31.18 Å³ per atom. The calculation puts the uncorrected formation energy at -1.258 eV/atom. Its density of states at the Fermi level is 33.6 states/eV/cell.

***

# 2
Density functional theory data (PBE) for a geometry-optimized Ac3Pm6Nd structure.

Cell lengths 10.2186, 10.2186, 12.8828 Å; angles 90.00, 90.00, 120.00 degrees
Space group R-3 (No. 148, hexagonal axes)
Unique sites:
Ac1 0.0000 0.0000 0.0000 x3
Ac2 0.0000 0.0000 0.2589 x6
Pm1 0.0014 0.6715 0.4239 x18
Nd1 0.0000 0.0000 0.5000 x3

Summary:
The volume comes out at 38.83 Å³ per atom. Its density of states at the Fermi level is 76.5 states/eV/cell. For the formation energy, the calculation gives 0.36 eV per atom.

***

# 3
Density functional theory data (PBE) for a geometry-optimized Sc2MoW structure.

Cell lengths 2.797, 2.797, 9.406 Å; angles 90.00, 90.00, 90.00 degrees
Space group P4/mmm (No. 123)
Unique sites:
Sc1 0.000 0.000 0.250 x2
Mo1 0.500 0.500 0.000 x1
W1 0.500 0.500 0.500 x1

Summary:
The volume comes out at 18.40 Å³ per atom. The calculation puts the energy above the most stable polymorph in this dataset at 252 meV/atom. Its density of states at the Fermi level is 5.3 states/eV/cell. For the formation energy, the calculation gives 0.28 eV per atom.

***

# 4
Density functional theory data (PBE) for a geometry-optimized Th3Si6Pd2Rh structure.

Cell lengths 5.8962, 5.8962, 7.8615 Å; angles 90.00, 90.00, 120.00 degrees
Space group P-3m1 (No. 164)
Unique sites:
Th1 0.0000 0.0000 0.0000 x1
Th2 0.3333 0.6667 0.6506 x2
Si1 0.1922 0.3844 0.3012 x6
Pd1 0.3333 0.6667 0.0372 x2
Rh1 0.0000 0.0000 0.5000 x1

Summary:
The volume comes out at 19.72 Å³ per atom. The calculation puts the uncorrected formation energy at -0.540 eV/atom. Its density of states at the Fermi level is 7.7 states/eV/cell.

***

# 5
Density functional theory data (PBE) for a geometry-optimized PrNd4SmEr2 structure.

Cell lengths 6.283, 3.646, 12.030 Å; angles 90.00, 100.11, 90.00 degrees
Space group P2/m (No. 10)
Unique sites:
Pr1 0.000 0.000 0.000 x1
Nd1 0.251 0.000 0.751 x2
Nd2 0.253 0.500 0.253 x2
Sm1 0.000 0.500 0.500 x1
Er1 0.500 0.000 0.500 x1
Er2 0.500 0.500 0.000 x1

Summary:
The volume comes out at 33.91 Å³ per atom. Its density of states at the Fermi level is 11.3 states/eV/cell. For the formation energy, the calculation gives 0.02 eV per atom.

***

# 6
Density functional theory data (PBE) for a geometry-optimized PmEuIr structure.

Cell lengths 3.551, 3.551, 13.519 Å; angles 90.00, 90.00, 90.00 degrees
Space group I4mm (No. 107)
Unique sites:
Pm1 0.000 0.000 0.000 x2
Eu1 0.000 0.000 0.750 x2
Ir1 0.000 0.000 0.386 x2

Summary:
The volume comes out at 28.40 Å³ per atom. The calculation puts the energy above the most stable polymorph in this dataset at 75 meV/atom. Its density of states at the Fermi level is 19.8 states/eV/cell. For the formation energy, the calculation gives -0.39 eV per atom.

***

# 7
Density functional theory data (PBE) for a geometry-optimized Li3AgF8 structure.

Cell lengths 5.500, 8.915, 6.242 Å; angles 90.00, 90.00, 90.00 degrees
Space group C222 (No. 21)
Unique sites:
Li1 0.000 0.000 0.000 x2
Li2 0.250 0.250 0.795 x4
Ag1 0.000 0.000 0.500 x2
F1 0.000 0.217 0.500 x4
F2 0.000 0.220 0.000 x4
F3 0.244 0.015 0.739 x8

Summary:
The volume comes out at 12.75 Å³ per atom. The calculation puts the uncorrected formation energy at -1.771 eV/atom. Its density of states at the Fermi level is 8.5 states/eV/cell.

***

# 8
Density functional theory data (PBE) for a geometry-optimized Nd2SmScSe4 structure.

Cell lengths 7.140, 4.078, 7.253 Å; angles 90.00, 108.79, 90.00 degrees
Space group P2/m (No. 10)
Unique sites:
Nd1 0.000 0.000 0.000 x1
Nd2 0.500 0.500 0.000 x1
Sm1 0.000 0.500 0.500 x1
Sc1 0.500 0.000 0.500 x1
Se1 0.257 0.000 0.736 x2
Se2 0.268 0.500 0.271 x2

Summary:
The volume comes out at 24.99 Å³ per atom. The calculation puts the uncorrected formation energy at -1.749 eV/atom. Its density of states at the Fermi level is 4.8 states/eV/cell.

***

# 9
Density functional theory data (PBE) for a geometry-optimized BeAsHBr2 structure.

Cell lengths 5.042, 5.042, 4.340 Å; angles 90.00, 90.00, 90.00 degrees
Space group P4/mmm (No. 123)
Unique sites:
Be1 0.000 0.000 0.000 x1
As1 0.000 0.000 0.500 x1
H1 0.500 0.500 0.500 x1
Br1 0.000 0.500 0.000 x2

Summary:
The volume comes out at 22.06 Å³ per atom. The calculation puts the energy above the most stable polymorph in this dataset at 0 meV/atom. Its density of states at the Fermi level is 1.7 states/eV/cell.

***

# 10
Density functional theory data (PBE) for a geometry-optimized Cd5Cu structure.

Cell lengths 5.2664, 5.2664, 5.0672 Å; angles 90.00, 90.00, 120.00 degrees
Space group P-62m (No. 189)
Unique sites:
Cd1 0.0000 0.6773 0.0000 x3
Cd2 0.3333 0.6667 0.5000 x2
Cu1 0.0000 0.0000 0.5000 x1

Summary:
The volume comes out at 20.29 Å³ per atom. The calculation puts the energy above the most stable polymorph in this dataset at 39 meV/atom. Its density of states at the Fermi level is 2.3 states/eV/cell. For the formation energy, the calculation gives 0.06 eV per atom.

***

# 11
Density functional theory data (PBE) for a geometry-optimized BePdW structure.

Cell lengths 3.8387, 3.8387, 9.9098 Å; angles 90.00, 90.00, 120.00 degrees
Space group P6_3/mmc (No. 194)
Unique sites:
Be1 0.3333 0.6667 0.2500 x2
Pd1 0.0000 0.0000 0.0000 x2
W1 0.0000 0.0000 0.2500 x2

Summary:
The volume comes out at 21.08 Å³ per atom. The calculation puts the energy above the most stable polymorph in this dataset at 2254 meV/atom. Its density of states at the Fermi level is 7.1 states/eV/cell. For the formation energy, the calculation gives 2.06 eV per atom.

***

# 12
Density functional theory data (PBE) for a geometry-optimized CaLaBiO structure.

Cell lengths 4.800, 4.800, 9.062 Å; angles 90.00, 90.00, 90.00 degrees
Space group P4/nmm (No. 129, origin choice 2)
Unique sites:
Ca1 0.250 0.250 0.163 x2
La1 0.250 0.750 0.500 x2
Bi1 0.250 0.250 0.799 x2
O1 0.250 0.250 0.421 x2

Summary:
The volume comes out at 26.10 Å³ per atom. The calculation puts the uncorrected formation energy at -1.939 eV/atom. Its density of states at the Fermi level is 2.0 states/eV/cell.